(1)
Below is a relaxed ErIF2 crystal, with properties calculated at the PBE level.

E_form (uncorrected) = -3.09 eV per atom
E above lowest polymorph = 0 meV per atom
size of the total moment = 0.0 μB per formula unit

a b c (Å): 3.7699 6.1823 7.0784
angles (deg): 90.00 90.00 107.76
Closest atoms and distances in Å follow each position.
Fractional coordinates of all 8 atoms:
Er 0.7528 0.5056 0.7500  6 F 2.33-2.39
Er 0.2472 0.4944 0.2500  6 F 2.33-2.39
I 0.9556 0.9109 0.2500  3 Er 3.09-3.44, 2 F 3.28
I 0.0444 0.0891 0.7500  3 Er 3.09-3.44, 2 F 3.28
F 0.3022 0.6045 0.5749  3 Er 2.33-2.39, 3 F 2.48-2.49
F 0.6978 0.3955 0.4251  3 Er 2.33-2.39, 3 F 2.48-2.49
F 0.3022 0.6045 0.9251  3 Er 2.33-2.39, 3 F 2.48-2.49
F 0.6978 0.3955 0.0749  3 Er 2.33-2.39, 3 F 2.48-2.49


(2)
Below is a relaxed ErIF2 crystal, with properties calculated at the PBE level.

E_form (uncorrected) = -2.98 eV per atom
E above lowest polymorph = 106 meV per atom
size of the total moment = 0.0 μB per formula unit

a b c (Å): 3.9396 3.9396 6.0846
angles (deg): 71.11 71.11 60.00
Closest atoms and distances in Å follow each position.
Fractional coordinates of all 4 atoms:
I 0.5000 0.5000 0.5000  8 F 3.27-3.29, 6 Er 3.62
F 0.3071 0.3071 0.0786  3 Er 2.32, 3 F 2.44
F 0.6929 0.6929 0.9214  3 Er 2.32, 3 F 2.44
Er 0.0000 0.0000 0.0000  6 F 2.32


Q: The lowest E above lowest polymorph belongs to which entry?
A: number 1


Copy entry 2 word for word.
Below is a relaxed ErIF2 crystal, with properties calculated at the PBE level.

E_form (uncorrected) = -2.98 eV per atom
E above lowest polymorph = 106 meV per atom
size of the total moment = 0.0 μB per formula unit

a b c (Å): 3.9396 3.9396 6.0846
angles (deg): 71.11 71.11 60.00
Closest atoms and distances in Å follow each position.
Fractional coordinates of all 4 atoms:
I 0.5000 0.5000 0.5000  8 F 3.27-3.29, 6 Er 3.62
F 0.3071 0.3071 0.0786  3 Er 2.32, 3 F 2.44
F 0.6929 0.6929 0.9214  3 Er 2.32, 3 F 2.44
Er 0.0000 0.0000 0.0000  6 F 2.32